## Cu3HgF8 (PBE)

Data for a relaxed Cu3HgF8 crystal.

Lattice parameters (Å, degrees): 5.8538 6.5832 7.0279 57.41 65.36 63.44
Last column: nearest neighbours and their distance in Å.
Atoms (fractional coordinates):
Cu (0.0000, 0.5000, 0.0000)  4 F 1.94-1.97
Cu (0.5000, 0.0000, 0.0000)  4 F 1.92
Cu (0.5000, 0.5000, 0.0000)  4 F 1.93-1.96
Hg (0.5000, 0.5000, 0.5000)  6 F 2.29-2.54
F (0.7467, 0.6964, 0.8092)  2 Cu 1.93-1.94
F (0.2533, 0.3036, 0.1908)  2 Cu 1.93-1.94
F (0.7450, 0.7624, 0.1942)  1 Cu 1.92
F (0.7391, 0.3133, 0.2087)  2 Cu 1.96-1.97
F (0.2969, 0.7643, 0.1977)  1 Cu 1.92
F (0.7031, 0.2357, 0.8023)  1 Cu 1.92
F (0.2609, 0.6867, 0.7913)  2 Cu 1.96-1.97
F (0.2550, 0.2376, 0.8058)  1 Cu 1.92

**Space group**: No. 2
**Raw formation energy**: -1.428 eV per atom


## CuHg2F (PBE)

Data for a relaxed CuHg2F crystal.

Lattice parameters (Å, degrees): 3.3913 3.3913 7.6574 77.21 77.21 60.00
Last column: nearest neighbours and their distance in Å.
Atoms (fractional coordinates):
Cu (0.6675, 0.6675, 0.9976)  6 Hg 2.70-2.71
Hg (0.0843, 0.0843, 0.7472)  3 F 2.66, 3 Cu 2.70
Hg (0.2498, 0.2498, 0.2507)  3 Cu 2.71, 3 F 2.71
F (0.4985, 0.4985, 0.5046)  6 Hg 2.66-2.71

**Space group**: No. 160
**Raw formation energy**: -0.446 eV per atom


## Cu2Hg2F7 (PBE)

Data for a relaxed Cu2Hg2F7 crystal.

Lattice parameters (Å, degrees): 5.7270 5.9947 5.9947 110.82 92.36 92.36
Last column: nearest neighbours and their distance in Å.
Atoms (fractional coordinates):
Cu (0.0906, 0.7357, 0.7357)  5 F 1.91-2.12
Cu (0.9094, 0.2643, 0.2643)  5 F 1.91-2.12
Hg (0.5000, 0.3070, 0.6930)  6 F 2.30-2.49
Hg (0.5000, 0.6930, 0.3070)  6 F 2.30-2.49
F (0.2813, 0.5929, 0.9472)  1 Cu 2.07, 1 Hg 2.30
F (0.7187, 0.0528, 0.4071)  1 Cu 2.07, 1 Hg 2.30
F (0.7187, 0.4071, 0.0528)  1 Cu 2.07, 1 Hg 2.30
F (0.2813, 0.9472, 0.5929)  1 Cu 2.07, 1 Hg 2.30
F (0.2211, 0.4536, 0.4536)  2 Cu 2.11-2.12
F (0.0000, 0.0000, 0.0000)  2 Cu 1.91
F (0.7789, 0.5464, 0.5464)  2 Cu 2.11-2.12

**Space group**: No. 12
**Raw formation energy**: -1.359 eV per atom


## CuHgF4 (PBE)

Data for a relaxed CuHgF4 crystal.

Lattice parameters (Å, degrees): 5.5551 5.5551 6.5808 114.97 114.97 90.00
Last column: nearest neighbours and their distance in Å.
Atoms (fractional coordinates):
Cu (0.0000, 0.5000, 0.0000)  4 F 1.92
Cu (0.5000, 0.0000, 0.0000)  4 F 1.92
Hg (0.7500, 0.7500, 0.5000)  8 F 2.43
Hg (0.2500, 0.2500, 0.5000)  8 F 2.43
F (0.8019, 0.9490, 0.2509)  1 Cu 1.92
F (0.5510, 0.6981, 0.7491)  1 Cu 1.92
F (0.1981, 0.0510, 0.7491)  1 Cu 1.92
F (0.6981, 0.1981, 0.7491)  1 Cu 1.92
F (0.4490, 0.3019, 0.2509)  1 Cu 1.92
F (0.9490, 0.4490, 0.2509)  1 Cu 1.92
F (0.3019, 0.8019, 0.2509)  1 Cu 1.92
F (0.0510, 0.5510, 0.7491)  1 Cu 1.92

**Space group**: No. 140
**Raw formation energy**: -1.475 eV per atom


## CuHg2F7 (PBE)

Data for a relaxed CuHg2F7 crystal.

Lattice parameters (Å, degrees): 7.1970 6.1740 9.9439 76.47 68.78 54.35
Last column: nearest neighbours and their distance in Å.
Atoms (fractional coordinates):
Cu (0.9949, 0.2500, 0.7500)  6 F 1.91-1.96
Cu (0.0051, 0.7500, 0.2500)  6 F 1.91-1.96
Hg (0.7218, 0.9834, 0.5768)  4 F 2.12-2.32
Hg (0.7179, 0.4834, 0.0768)  4 F 2.12-2.32
Hg (0.2821, 0.5166, 0.9232)  4 F 2.12-2.32
Hg (0.2782, 0.0166, 0.4232)  4 F 2.12-2.32
F (0.8064, 0.6306, 0.7441)  1 Cu 1.91
F (0.8189, 0.1306, 0.2441)  1 Cu 1.91
F (0.2787, 0.7209, 0.0925)  1 Cu 1.96
F (0.2688, 0.2192, 0.5927)  1 Cu 1.96
F (0.4919, 0.2500, 0.7500)  2 Hg 2.12
F (0.9079, 0.2209, 0.5925)  1 Cu 1.96
F (0.0806, 0.2808, 0.9073)  1 Cu 1.96
F (0.9194, 0.7192, 0.0927)  1 Cu 1.96
F (0.0921, 0.7791, 0.4075)  1 Cu 1.96
F (0.5081, 0.7500, 0.2500)  2 Hg 2.12
F (0.7312, 0.7808, 0.4073)  1 Cu 1.96
F (0.7213, 0.2791, 0.9075)  1 Cu 1.96
F (0.1811, 0.8694, 0.7559)  1 Cu 1.91
F (0.1936, 0.3694, 0.2559)  1 Cu 1.91

**Space group**: No. 15
**Raw formation energy**: -1.341 eV per atom


## CuHg6F12 (PBE)

Data for a relaxed CuHg6F12 crystal.

Lattice parameters (Å, degrees): 6.8410 6.8410 6.8410 99.37 99.37 99.37
Last column: nearest neighbours and their distance in Å.
Atoms (fractional coordinates):
Cu (0.0000, 0.0000, 0.0000)  6 F 2.13
Hg (0.7086, 0.8668, 0.3905)  6 F 2.34-2.52
Hg (0.6095, 0.2914, 0.1332)  6 F 2.34-2.52
Hg (0.1332, 0.6095, 0.2914)  6 F 2.34-2.52
Hg (0.2914, 0.1332, 0.6095)  6 F 2.34-2.52
Hg (0.3905, 0.7086, 0.8668)  6 F 2.34-2.52
Hg (0.8668, 0.3905, 0.7086)  6 F 2.34-2.52
F (0.8228, 0.5657, 0.4126)  4 Hg 2.34-2.52
F (0.4126, 0.8228, 0.5657)  4 Hg 2.34-2.52
F (0.5657, 0.4126, 0.8228)  4 Hg 2.34-2.52
F (0.1772, 0.4343, 0.5874)  4 Hg 2.34-2.52
F (0.5874, 0.1772, 0.4343)  4 Hg 2.34-2.52
F (0.4343, 0.5874, 0.1772)  4 Hg 2.34-2.52
F (0.0715, 0.9545, 0.3021)  1 Cu 2.13
F (0.0455, 0.6979, 0.9285)  1 Cu 2.13
F (0.6979, 0.9285, 0.0455)  1 Cu 2.13
F (0.9285, 0.0455, 0.6979)  1 Cu 2.13
F (0.9545, 0.3021, 0.0715)  1 Cu 2.13
F (0.3021, 0.0715, 0.9545)  1 Cu 2.13

**Space group**: No. 148
**Raw formation energy**: -1.351 eV per atom


## CuHg3F (PBE)

Data for a relaxed CuHg3F crystal.

Lattice parameters (Å, degrees): 5.0495 5.0495 5.0495 90.00 90.00 90.00
Last column: nearest neighbours and their distance in Å.
Atoms (fractional coordinates):
Hg (0.0000, 0.5000, 0.0000)  2 Cu 2.52
Hg (0.0000, 0.0000, 0.5000)  2 Cu 2.52
Hg (0.5000, 0.0000, 0.0000)  2 Cu 2.52
Cu (0.0000, 0.0000, 0.0000)  6 Hg 2.52
F (0.5000, 0.5000, 0.5000)  12 Hg 3.57

**Space group**: No. 221
**Raw formation energy**: -0.197 eV per atom


## Cu6Hg4F19 (PBE)

Data for a relaxed Cu6Hg4F19 crystal.

Lattice parameters (Å, degrees): 8.0385 8.0385 8.0385 109.47 109.47 109.47
Last column: nearest neighbours and their distance in Å.
Atoms (fractional coordinates):
Cu (0.3372, 0.5000, 0.8372)  4 F 1.93-2.06
Cu (0.6628, 0.5000, 0.1628)  4 F 1.93-2.06
Cu (0.1628, 0.6628, 0.5000)  4 F 1.93-2.06
Cu (0.8372, 0.3372, 0.5000)  4 F 1.93-2.06
Cu (0.5000, 0.8372, 0.3372)  4 F 1.93-2.06
Cu (0.5000, 0.1628, 0.6628)  4 F 1.93-2.06
Hg (0.0000, 0.0000, 0.7025)  7 F 2.38-2.56
Hg (0.0000, 0.7025, 0.0000)  7 F 2.38-2.56
Hg (0.2975, 0.2975, 0.2975)  7 F 2.38-2.56
Hg (0.7025, 0.0000, 0.0000)  7 F 2.38-2.56
F (0.6736, 0.0000, 0.6736)  2 Cu 2.21
F (0.3264, 0.0000, 0.3264)  2 Cu 2.21
F (0.3264, 0.3264, 0.0000)  2 Cu 2.21
F (0.6736, 0.6736, 0.0000)  2 Cu 2.21
F (0.0000, 0.6736, 0.6736)  2 Cu 2.21
F (0.0000, 0.3264, 0.3264)  2 Cu 2.21
F (0.0000, 0.0000, 0.0000)  4 Hg 2.39
F (0.3636, 0.3326, 0.6224)  2 Cu 1.93-2.06
F (0.6364, 0.2587, 0.9690)  2 Cu 1.93-2.06
F (0.7103, 0.7413, 0.3776)  2 Cu 1.93-2.06
F (0.9690, 0.6364, 0.2587)  2 Cu 1.93-2.06
F (0.2897, 0.6674, 0.0310)  2 Cu 1.93-2.06
F (0.6224, 0.3636, 0.3326)  2 Cu 1.93-2.06
F (0.0310, 0.2897, 0.6674)  2 Cu 1.93-2.06
F (0.3776, 0.7103, 0.7413)  2 Cu 1.93-2.06
F (0.6674, 0.0310, 0.2897)  2 Cu 1.93-2.06
F (0.2587, 0.9690, 0.6364)  2 Cu 1.93-2.06
F (0.3326, 0.6224, 0.3636)  2 Cu 1.93-2.06
F (0.7413, 0.3776, 0.7103)  2 Cu 1.93-2.06

**Space group**: No. 197
**Raw formation energy**: -1.403 eV per atom